Tc5P | SCAN | single point on PBEsol structure

## Properties
Formation energy in eV/atom: 0.720
Magnetic moment in μB/f.u.: 0.0
Crystal system: hexagonal

Lattice parameters (Å, degrees): 4.7944 4.7944 4.6842 90.00 90.00 120.00
Space group P6/mmm (No. 191)
Inequivalent atoms, fractional coordinates:
Tc 0.0000 0.5000 0.0000 x3
Tc 0.3333 0.6667 0.5000 x2
P 0.0000 0.0000 0.5000 x1

=====

TcP | SCAN | single point on PBEsol structure

## Properties
Formation energy in eV/atom: -0.387
Magnetic moment in μB/f.u.: 0.0
Crystal system: cubic

Lattice parameters (Å, degrees): 2.913 2.913 2.913 90.00 90.00 90.00
Space group Pm-3m (No. 221)
Inequivalent atoms, fractional coordinates:
Tc 0.000 0.000 0.000 x1
P 0.500 0.500 0.500 x1

=====

TcP4 | SCAN | single point on PBEsol structure

## Properties
Formation energy in eV/atom: -0.483
Magnetic moment in μB/f.u.: 0.0
Crystal system: orthorhombic

Lattice parameters (Å, degrees): 6.207 9.171 10.799 90.00 90.00 90.00
Space group Pbca (No. 61)
Inequivalent atoms, fractional coordinates:
Tc 0.120 0.109 0.075 x8
P 0.004 0.708 0.068 x8
P 0.060 0.220 0.736 x8
P 0.189 0.553 0.738 x8
P 0.245 0.543 0.419 x8